Entry 1:
Entry from Alexandria via LeMat-Bulk: an optimized crystal structure of CrTcNi2 (PBE-GGA).

a = 8.5132 Å, b = 8.5132 Å, c = 8.5132 Å
α = 17.52°, β = 17.52°, γ = 17.52°
Last column: nearest neighbours and their distance in Å.
Positions (direct):
Ni (0.2526, 0.2526, 0.2526)  9 Ni 2.53-2.59, 3 Tc 2.61
Ni (0.0003, 0.0003, 0.0003)  3 Cr 2.49, 9 Ni 2.53-2.59
Tc (0.5010, 0.5010, 0.5010)  6 Tc 2.59, 3 Ni 2.61, 3 Cr 2.67
Cr (0.7462, 0.7462, 0.7462)  3 Ni 2.49, 6 Cr 2.59, 3 Tc 2.67

Values from the calculation:
**ΔH_f (0 K)**: 148 meV/atom
**Density of states at the Fermi level**: 6.15 states/eV/f.u.
**V**: 12.2 Å³/atom

---

Entry 2:
Entry from Alexandria via LeMat-Bulk: an optimized crystal structure of CrTcNi (PBE-GGA).

a = 3.9325 Å, b = 3.9325 Å, c = 3.9325 Å
α = 60.00°, β = 60.00°, γ = 60.00°
Last column: nearest neighbours and their distance in Å.
Positions (direct):
Cr (0.7500, 0.7500, 0.7500)  4 Tc 2.41, 4 Ni 2.41
Tc (0.5000, 0.5000, 0.5000)  4 Cr 2.41
Ni (0.0000, 0.0000, 0.0000)  4 Cr 2.41

Values from the calculation:
**ΔH_f (0 K)**: 561 meV/atom
**Density of states at the Fermi level**: 3.98 states/eV/f.u.
**V**: 14.3 Å³/atom

---

Entry 3:
Entry from Alexandria via LeMat-Bulk: an optimized crystal structure of CrTcNi2 (PBE-GGA).

a = 4.5556 Å, b = 4.5556 Å, c = 2.5158 Å
α = 90.01°, β = 90.01°, γ = 113.35°
Last column: nearest neighbours and their distance in Å.
Positions (direct):
Ni (0.5000, 0.5000, 0.0000)  4 Ni 2.50-2.52, 4 Cr 2.60, 4 Tc 2.60
Ni (0.0000, 0.0000, 0.0000)  4 Ni 2.50-2.52, 4 Tc 2.60, 4 Cr 2.60
Cr (0.0000, 0.5000, 0.5000)  2 Tc 2.50, 2 Cr 2.52, 8 Ni 2.60
Tc (0.5000, 0.0000, 0.5000)  2 Cr 2.50, 2 Tc 2.52, 8 Ni 2.60

Values from the calculation:
**ΔH_f (0 K)**: 48 meV/atom
**Density of states at the Fermi level**: 5.88 states/eV/f.u.
**V**: 12.0 Å³/atom

---

Entry 4:
Entry from Alexandria via LeMat-Bulk: an optimized crystal structure of CrTcNi (PBE-GGA).

a = 4.5959 Å, b = 2.5497 Å, c = 6.3676 Å
α = 90.00°, β = 92.61°, γ = 90.00°
Last column: nearest neighbours and their distance in Å.
Positions (direct):
Ni (0.2724, 0.0000, 0.3576)  3 Ni 2.52-2.55, 3 Cr 2.59-2.62, 6 Tc 2.63-2.65
Ni (0.9492, 0.0000, 0.0275)  3 Ni 2.52-2.55, 5 Cr 2.54-2.66, 4 Tc 2.59-2.62
Tc (0.7729, 0.5000, 0.3580)  3 Cr 2.52-2.68, 3 Tc 2.55-2.62, 6 Ni 2.62-2.63
Tc (0.1137, 0.5000, 0.6985)  5 Cr 2.54-2.66, 3 Tc 2.55-2.62, 4 Ni 2.59-2.65
Cr (0.4410, 0.5000, 0.0312)  2 Tc 2.52-2.54, 4 Cr 2.55-2.59, 6 Ni 2.59-2.66
Cr (0.6068, 0.0000, 0.7025)  2 Ni 2.54-2.62, 4 Cr 2.55-2.59, 6 Tc 2.60-2.68

Values from the calculation:
**ΔH_f (0 K)**: 93 meV/atom
**Density of states at the Fermi level**: 3.50 states/eV/f.u.
**V**: 12.4 Å³/atom

---

Entry 5:
Entry from Alexandria via LeMat-Bulk: an optimized crystal structure of Cr2TcNiTe (PBE-GGA).

a = 4.6748 Å, b = 4.4765 Å, c = 4.6748 Å
α = 90.00°, β = 90.00°, γ = 90.00°
Last column: nearest neighbours and their distance in Å.
Positions (direct):
Ni (0.0000, 0.5000, 0.0000)  2 Te 2.24
Cr (0.0000, 0.0000, 0.5000)  2 Te 2.34
Cr (0.5000, 0.0000, 0.0000)  2 Te 2.34
Te (0.0000, 0.0000, 0.0000)  2 Ni 2.24, 4 Cr 2.34
Tc (0.5000, 0.5000, 0.5000)  8 Cr 3.24, 4 Ni 3.31

Values from the calculation:
**E_form (uncorrected)**: 9.25 eV/f.u.
**Density of states at the Fermi level**: 7.79 states/eV/f.u.
**V**: 19.6 Å³/atom

---

Entry 6:
Entry from Alexandria via LeMat-Bulk: an optimized crystal structure of TiCrTcNi (PBE-GGA).

a = 4.2351 Å, b = 4.2351 Å, c = 4.2351 Å
α = 60.00°, β = 60.00°, γ = 60.00°
Last column: nearest neighbours and their distance in Å.
Positions (direct):
Cr (0.7500, 0.7500, 0.7500)  4 Ni 2.59, 4 Tc 2.59
Ni (0.5000, 0.5000, 0.5000)  4 Ti 2.59, 4 Cr 2.59
Ti (0.2500, 0.2500, 0.2500)  4 Tc 2.59, 4 Ni 2.59
Tc (0.0000, 0.0000, 0.0000)  4 Cr 2.59, 4 Ti 2.59

Values from the calculation:
**ΔH_f (0 K)**: -161 meV/atom
**Density of states at the Fermi level**: 4.11 states/eV/f.u.
**V**: 13.4 Å³/atom

---

Entry 7:
Entry from Alexandria via LeMat-Bulk: an optimized crystal structure of CrTcNiW (PBE-GGA).

a = 4.2658 Å, b = 4.2658 Å, c = 4.2658 Å
α = 60.00°, β = 60.00°, γ = 60.00°
Last column: nearest neighbours and their distance in Å.
Positions (direct):
Cr (0.7500, 0.7500, 0.7500)  4 W 2.61, 4 Ni 2.61
W (0.5000, 0.5000, 0.5000)  4 Cr 2.61, 4 Tc 2.61
Ni (0.0000, 0.0000, 0.0000)  4 Tc 2.61, 4 Cr 2.61
Tc (0.2500, 0.2500, 0.2500)  4 W 2.61, 4 Ni 2.61

Values from the calculation:
**ΔH_f (0 K)**: 183 meV/atom
**Density of states at the Fermi level**: 6.22 states/eV/f.u.
**V**: 13.7 Å³/atom

---

Entry 8:
Entry from Alexandria via LeMat-Bulk: an optimized crystal structure of CrNi2Te (PBE-GGA).

a = 3.8688 Å, b = 3.8695 Å, c = 3.7568 Å
α = 90.00°, β = 90.00°, γ = 90.00°
Last column: nearest neighbours and their distance in Å.
Positions (direct):
Cr (0.5000, 0.8750, 0.6250)  8 Ni 2.70, 4 Te 2.74
Te (0.0000, 0.3750, 0.6251)  8 Ni 2.70, 4 Cr 2.74
Ni (0.5000, 0.3750, 0.1252)  4 Cr 2.70, 4 Te 2.70, 4 Ni 2.74
Ni (0.0000, 0.8750, 0.1248)  4 Te 2.70, 4 Cr 2.70, 4 Ni 2.74

Values from the calculation:
**E_form (uncorrected)**: 0.47 eV/f.u.
**Density of states at the Fermi level**: 2.21 states/eV/f.u.
**V**: 14.1 Å³/atom

---

Entry 9:
Entry from Alexandria via LeMat-Bulk: an optimized crystal structure of CrNi2Te (PBE-GGA).

a = 3.2932 Å, b = 3.3181 Å, c = 6.3252 Å
α = 58.37°, β = 90.00°, γ = 90.00°
Last column: nearest neighbours and their distance in Å.
Positions (direct):
Cr (0.5000, 0.7500, 0.7500)  8 Ni 2.65, 2 Te 2.69
Te (0.5000, 0.2500, 0.2500)  2 Cr 2.69, 8 Ni 2.75
Ni (0.0000, 0.4801, 0.5194)  1 Ni 2.48, 4 Cr 2.65, 4 Te 2.75
Ni (0.0000, 0.0199, 0.9806)  1 Ni 2.48, 4 Cr 2.65, 4 Te 2.75

Values from the calculation:
**E_form (uncorrected)**: 0.86 eV/f.u.
**Density of states at the Fermi level**: 4.92 states/eV/f.u.
**V**: 14.7 Å³/atom

---

Entry 10:
Entry from Alexandria via LeMat-Bulk: an optimized crystal structure of CrNiTe (PBE-GGA).

a = 4.2299 Å, b = 4.2299 Å, c = 4.2299 Å
α = 60.00°, β = 60.00°, γ = 60.00°
Last column: nearest neighbours and their distance in Å.
Positions (direct):
Te (0.0000, 0.0000, 0.0000)  4 Ni 2.59
Ni (0.7500, 0.7500, 0.7500)  4 Cr 2.59, 4 Te 2.59
Cr (0.5000, 0.5000, 0.5000)  4 Ni 2.59

Values from the calculation:
**E_form (uncorrected)**: 0.10 eV/f.u.
**Density of states at the Fermi level**: 1.36 states/eV/f.u.
**V**: 17.8 Å³/atom

---

Entry 11:
Entry from Alexandria via LeMat-Bulk: an optimized crystal structure of CrNiTe2 (PBE-GGA).

a = 6.2469 Å, b = 7.9108 Å, c = 8.3071 Å
α = 116.38°, β = 90.00°, γ = 90.00°
Last column: nearest neighbours and their distance in Å.
Positions (direct):
Te (0.2525, 0.8579, 0.2896)  2 Ni 2.52-2.62, 2 Cr 2.73-2.74
Te (0.7475, 0.1421, 0.7104)  2 Ni 2.52-2.62, 2 Cr 2.73-2.74
Te (0.7525, 0.6421, 0.7104)  2 Ni 2.52-2.62, 2 Cr 2.73-2.74
Te (0.2465, 0.8936, 0.7977)  2 Ni 2.49-2.50, 1 Cr 2.71
Te (0.2475, 0.3579, 0.2896)  2 Ni 2.52-2.62, 2 Cr 2.73-2.74
Te (0.7535, 0.1064, 0.2023)  2 Ni 2.49-2.50, 1 Cr 2.71
Te (0.7465, 0.6064, 0.2023)  2 Ni 2.49-2.50, 1 Cr 2.71
Te (0.2535, 0.3936, 0.7977)  2 Ni 2.49-2.50, 1 Cr 2.71
Cr (0.5266, 0.8134, 0.5239)  4 Ni 2.68-2.93, 5 Te 2.71-2.84
Cr (0.9734, 0.3134, 0.5239)  4 Ni 2.68-2.93, 5 Te 2.71-2.84
Cr (0.0266, 0.6866, 0.4761)  4 Ni 2.68-2.93, 5 Te 2.71-2.84
Cr (0.4734, 0.1866, 0.4761)  4 Ni 2.68-2.93, 5 Te 2.71-2.84
Ni (0.6476, 0.4432, 0.3878)  4 Te 2.49-2.62, 1 Ni 2.49, 3 Cr 2.68-2.74
Ni (0.1476, 0.0568, 0.6122)  4 Te 2.49-2.62, 1 Ni 2.49, 3 Cr 2.68-2.74
Ni (0.8524, 0.9432, 0.3878)  4 Te 2.49-2.62, 1 Ni 2.49, 3 Cr 2.68-2.74
Ni (0.3524, 0.5568, 0.6122)  4 Te 2.49-2.62, 1 Ni 2.49, 3 Cr 2.68-2.74

Values from the calculation:
**E_form (uncorrected)**: -0.71 eV/f.u.
**Density of states at the Fermi level**: 3.56 states/eV/f.u.
**V**: 23.0 Å³/atom

---

Entry 12:
Entry from Alexandria via LeMat-Bulk: an optimized crystal structure of CrNiTe2 (PBE-GGA).

a = 5.9673 Å, b = 5.9673 Å, c = 7.2583 Å
α = 65.73°, β = 65.73°, γ = 90.00°
Last column: nearest neighbours and their distance in Å.
Positions (direct):
Cr (0.2500, 0.7500, 0.5000)  4 Te 2.63
Cr (0.5000, 0.5000, 0.0000)  4 Te 2.63
Te (0.3750, 0.3599, 0.7500)  2 Ni 2.52, 2 Cr 2.63
Te (0.1099, 0.6250, 0.2500)  2 Ni 2.52, 2 Cr 2.63
Te (0.6401, 0.1250, 0.2500)  2 Ni 2.52, 2 Cr 2.63
Te (0.8750, 0.8901, 0.7500)  2 Ni 2.52, 2 Cr 2.63
Ni (0.0000, 0.0000, 0.0000)  4 Te 2.52
Ni (0.7500, 0.2500, 0.5000)  4 Te 2.52

Values from the calculation:
**E_form (uncorrected)**: 0.25 eV/f.u.
**Density of states at the Fermi level**: 3.10 states/eV/f.u.
**V**: 26.3 Å³/atom

---

Calculated final energy, -7.74 -8.03 -7.84 -8.50 -5.86 -8.58 -9.50 -5.96 -5.87 -6.15 -5.60 -5.36 eV per atom (same order as the records).